No. 1
Below is a relaxed structure of Sc2TiBiIr, with properties calculated at the PBE level.

abc: 5.3548 4.9736 5.3548
angles: 90.00 90.00 90.00
With the nearest neighbours (Å) after each atom.
Sites, in units of the cell vectors:
Sc: 0.0000 0.0000 0.5000  2 Bi 2.68
Sc: 0.5000 0.0000 0.0000  2 Bi 2.68
Ir: 0.0000 0.5000 0.0000  2 Bi 2.49
Bi: 0.0000 0.0000 0.0000  2 Ir 2.49, 4 Sc 2.68
Ti: 0.5000 0.5000 0.5000  8 Sc 3.65, 4 Ir 3.79

Computed properties:
- Symmetry: P4/mmm (123)
- E_tot: -5.65 eV/atom

***

No. 2
Below is a relaxed structure of KPt2, with properties calculated at the PBE level.

abc: 5.7782 4.5275 11.0947
angles: 90.00 90.00 90.00
With the nearest neighbours (Å) after each atom.
Sites, in units of the cell vectors:
K: 0.9339 0.2500 0.8736  4 Pt 2.96-3.19
K: 0.5661 0.7500 0.3736  4 Pt 2.96-3.19
K: 0.4339 0.2500 0.6264  4 Pt 2.96-3.19
K: 0.0661 0.7500 0.1264  4 Pt 2.96-3.19
Pt: 0.1158 0.2500 0.3274  3 Pt 2.64-2.67
Pt: 0.9442 0.2500 0.5484  5 Pt 2.59-2.67
Pt: 0.5558 0.7500 0.0484  5 Pt 2.59-2.67
Pt: 0.3842 0.7500 0.8274  3 Pt 2.64-2.67
Pt: 0.6158 0.2500 0.1726  3 Pt 2.64-2.67
Pt: 0.4442 0.2500 0.9516  5 Pt 2.59-2.67
Pt: 0.0558 0.7500 0.4516  5 Pt 2.59-2.67
Pt: 0.8842 0.7500 0.6726  3 Pt 2.64-2.67

Computed properties:
- Symmetry: Pnma (62)
- E_tot: -4.19 eV/atom

***

No. 3
Below is a relaxed structure of PmYHo5, with properties calculated at the PBE level.

abc: 5.7740 7.8907 7.8907
angles: 65.98 68.54 68.54
With the nearest neighbours (Å) after each atom.
Sites, in units of the cell vectors:
Pm: 0.5000 0.5000 0.5000  6 Ho 2.77-2.91
Y: 0.0000 0.0000 0.0000  6 Ho 3.05-3.27
Ho: 0.5000 0.1778 0.8222  1 Pm 2.77, 1 Ho 3.06
Ho: 0.5000 0.8222 0.1778  1 Pm 2.77, 1 Ho 3.06
Ho: 0.7439 0.2561 0.2561  1 Pm 2.91, 1 Y 3.05
Ho: 0.2561 0.7439 0.7439  1 Pm 2.91, 1 Y 3.05
Ho: 0.0000 0.5000 0.5000  2 Pm 2.89

Computed properties:
- Energy above the lowest structure with this stoichiometry: 6.46 eV per formula unit
- Symmetry: Immm (71)

***

No. 4
Below is a relaxed structure of KAsSe3, with properties calculated at the PBE level.

abc: 5.6537 5.6537 5.6537
angles: 90.00 90.00 90.00
With the nearest neighbours (Å) after each atom.
Sites, in units of the cell vectors:
As: 0.5000 0.5000 0.5000  12 Se 4.00
K: 0.0000 0.0000 0.0000  6 Se 2.83
Se: 0.0000 0.5000 0.0000  2 K 2.83
Se: 0.0000 0.0000 0.5000  2 K 2.83
Se: 0.5000 0.0000 0.0000  2 K 2.83

Computed properties:
- Symmetry: Pm-3m (221)
- Formation energy (no corrections): 1.305 eV per atom

***

No. 5
Below is a relaxed structure of TlHgPdF6, with properties calculated at the PBE level.

abc: 6.0158 6.0158 10.6769
angles: 90.00 90.00 120.00
With the nearest neighbours (Å) after each atom.
Sites, in units of the cell vectors:
Tl: 0.0000 0.0000 0.0000  6 F 2.70
Tl: 0.0000 0.0000 0.5000  6 F 2.70
Hg: 0.6667 0.3333 0.2500  6 F 2.37
Hg: 0.3333 0.6667 0.7500  6 F 2.37
Pd: 0.3333 0.6667 0.2500  6 F 2.07
Pd: 0.6667 0.3333 0.7500  6 F 2.07
F: 0.6172 0.6539 0.1460  1 Pd 2.07
F: 0.0367 0.3828 0.1460  1 Pd 2.07
F: 0.3828 0.0367 0.6460  1 Pd 2.07
F: 0.9633 0.6172 0.8540  1 Pd 2.07
F: 0.3461 0.3828 0.3540  1 Pd 2.07
F: 0.0367 0.6539 0.3540  1 Pd 2.07
F: 0.6539 0.0367 0.8540  1 Pd 2.07
F: 0.6172 0.9633 0.3540  1 Pd 2.07
F: 0.9633 0.3461 0.6460  1 Pd 2.07
F: 0.3461 0.9633 0.1460  1 Pd 2.07
F: 0.6539 0.6172 0.6460  1 Pd 2.07
F: 0.3828 0.3461 0.8540  1 Pd 2.07

Computed properties:
- Symmetry: P-31c (163)
- Formation energy (no corrections): -1.451 eV per atom

***

No. 6
Below is a relaxed structure of ZrScMo4, with properties calculated at the PBE level.

abc: 5.3764 5.3764 5.3764
angles: 60.00 60.00 60.00
With the nearest neighbours (Å) after each atom.
Sites, in units of the cell vectors:
Mo: 0.1257 0.6248 0.6248  6 Mo 2.68-2.69
Mo: 0.6248 0.6248 0.6248  6 Mo 2.68-2.69
Mo: 0.6248 0.1257 0.6248  6 Mo 2.68-2.69
Mo: 0.6248 0.6248 0.1257  6 Mo 2.68-2.69
Sc: 0.2500 0.2500 0.2500  12 Mo 3.15, 4 Zr 3.29
Zr: 0.0000 0.0000 0.0000  12 Mo 3.15, 4 Sc 3.29

Computed properties:
- Symmetry: F-43m (216)
- E_tot: -9.80 eV/atom